Compound: K2SrAl
Source: Alexandria
Functional: PBE-GGA
Structure: relaxed

Calculated values
* energy of formation: 0.353 eV per atom
* magnetization: 0.0 μB per cell

Structure (POSCAR):
```
K2SrAl
1.0
4.0179 0.0000 0.0000
0.0000 4.0179 0.0000
0.0000 0.0000 11.9248
K Sr Al
2 1 1
Direct
0.0000 0.0000 0.1907
0.0000 0.0000 0.8093
0.5000 0.5000 0.5000
0.5000 0.5000 0.0000
```

***

Compound: KSrAl
Source: Alexandria
Functional: PBE-GGA
Structure: relaxed

Calculated values
* energy of formation: 0.298 eV per atom
* magnetization: 0.0 μB per cell
* energy above the lowest structure with this stoichiometry: 366 meV/atom

Structure (POSCAR):
```
KSrAl
1.0
5.8342 0.0000 0.0000
-2.9171 5.0526 0.0000
0.0000 0.0000 3.8048
K Sr Al
1 1 1
Direct
0.0000 0.0000 0.0000
0.6667 0.3333 0.3329
0.3333 0.6667 0.7043
```